No. 1
Pm3NiGe6Rh2 | GGA-PBE | optimized geometry

Output
ΔE_f: -389 meV per atom
Symmetry: P-3m1
Calculated volume: 243.93 Å³/cell
Uncorrected energy: -5.592 eV/atom

The structure in CIF format:
```
data_Pm3NiGe6Rh2
_cell_length_a 5.6287
_cell_length_b 5.6287
_cell_length_c 8.8903
_cell_angle_alpha 90.00
_cell_angle_beta 90.00
_cell_angle_gamma 120.00
_space_group_name_H-M_alt 'P 1'
_space_group_IT_number 1
loop_
_space_group_symop_operation_xyz
'x,y,z'
loop_
_atom_site_label
_atom_site_fract_x
_atom_site_fract_y
_atom_site_fract_z
Ge1 0.6623 0.8311 0.2837
Rh1 0.3333 0.6667 0.0675
Rh2 0.6667 0.3333 0.9325
Ge2 0.8311 0.6623 0.7163
Ge3 0.1689 0.8311 0.2837
Ge4 0.8311 0.1689 0.7163
Ge5 0.3377 0.1689 0.7163
Ni1 0.0000 0.0000 0.5000
Pm1 0.6667 0.3333 0.4114
Ge6 0.1689 0.3377 0.2837
Pm2 0.3333 0.6667 0.5886
Pm3 0.0000 0.0000 0.0000
```

***

No. 2
Li8Mg3Cd3 | GGA-PBE | optimized geometry

Output
ΔE_f: -100 meV per atom
Symmetry: Immm
Calculated volume: 277.30 Å³/cell
Uncorrected energy: -1.731 eV/atom

The structure in CIF format:
```
data_Li8Mg3Cd3
_cell_length_a 4.7893
_cell_length_b 12.4715
_cell_length_c 8.1347
_cell_angle_alpha 140.05
_cell_angle_beta 107.12
_cell_angle_gamma 90.00
_space_group_name_H-M_alt 'P 1'
_space_group_IT_number 1
loop_
_space_group_symop_operation_xyz
'x,y,z'
loop_
_atom_site_label
_atom_site_fract_x
_atom_site_fract_y
_atom_site_fract_z
Li1 0.1586 0.7616 0.3172
Cd1 0.1967 0.1967 0.3935
Li2 0.6542 0.8698 0.3084
Li3 0.3458 0.1302 0.6916
Cd2 0.8033 0.8033 0.6065
Li4 0.6542 0.4386 0.3084
Li5 0.8414 0.2384 0.6828
Mg1 0.0000 0.1833 0.0000
Mg2 0.5000 0.0000 0.0000
Li6 0.3458 0.5614 0.6916
Li7 0.1586 0.5556 0.3172
Li8 0.8414 0.4444 0.6828
Cd3 0.5000 0.5000 0.0000
Mg3 0.0000 0.8167 0.0000
```

***

No. 3
CsTlFe2Cl6 | GGA-PBE | optimized geometry

Output
Formation energy (no corrections): -1.04 eV/atom
Symmetry: C2/c
Calculated volume: 687.40 Å³/cell
Uncorrected energy: -4.161 eV/atom

The structure in CIF format:
```
data_CsTlFe2Cl6
_cell_length_a 9.8273
_cell_length_b 9.8273
_cell_length_c 7.2678
_cell_angle_alpha 98.26
_cell_angle_beta 98.26
_cell_angle_gamma 89.17
_space_group_name_H-M_alt 'P 1'
_space_group_IT_number 1
loop_
_space_group_symop_operation_xyz
'x,y,z'
loop_
_atom_site_label
_atom_site_fract_x
_atom_site_fract_y
_atom_site_fract_z
Tl1 0.3977 0.6023 0.7500
Cl1 0.1719 0.1276 0.0190
Cs1 0.8162 0.1838 0.7500
Cl2 0.2923 0.4655 0.3243
Fe1 0.2970 0.1309 0.7678
Cl3 0.0819 0.6209 0.8099
Fe2 0.1309 0.2970 0.2678
Cl4 0.8281 0.8724 0.9810
Cl5 0.1276 0.1719 0.5190
Fe3 0.7030 0.8691 0.2322
Cl6 0.4655 0.2923 0.8243
Cs2 0.1838 0.8162 0.2500
Cl7 0.8724 0.8281 0.4810
Tl2 0.6023 0.3977 0.2500
Cl8 0.3791 0.9181 0.6901
Cl9 0.7077 0.5345 0.6757
Fe4 0.8691 0.7030 0.7322
Cl10 0.9181 0.3791 0.1901
Cl11 0.5345 0.7077 0.1757
Cl12 0.6209 0.0819 0.3099
```

***

No. 4
TlSbTe | GGA-PBE | optimized geometry

Output
Formation energy (no corrections): -0.01 eV/atom
Symmetry: Immm
Calculated volume: 193.05 Å³/cell
Uncorrected energy: -3.219 eV/atom

The structure in CIF format:
```
data_TlSbTe
_cell_length_a 6.4633
_cell_length_b 3.2412
_cell_length_c 9.8990
_cell_angle_alpha 99.42
_cell_angle_beta 109.05
_cell_angle_gamma 90.00
_space_group_name_H-M_alt 'P 1'
_space_group_IT_number 1
loop_
_space_group_symop_operation_xyz
'x,y,z'
loop_
_atom_site_label
_atom_site_fract_x
_atom_site_fract_y
_atom_site_fract_z
Te1 0.1614 0.6614 0.3229
Tl1 0.3445 0.8445 0.6891
Tl2 0.6555 0.1555 0.3109
Sb1 0.2215 0.5000 0.0000
Sb2 0.7785 0.5000 0.0000
Te2 0.8386 0.3386 0.6771
```